P:
8
Lattice="-2.0577 2.0577 8.8263 2.0577 -2.0577 8.8263 2.0577 2.0577 -8.8263" Properties=species:S:1:pos:R:3 comment="AlFe2Bi | Alexandria via LeMat-Bulk | GGA-PBE | optimized geometry" magnetic_moment_mub_per_cell=8.94 dos_ef_per_ev_atom=0.96 crystal_system=tetragonal pbc="T T T"
Al 0.0000 0.0000 0.0000
Al 0.0000 2.0577 4.4132
Fe 3.0866 0.6853 -2.2066
Fe 0.6853 1.0289 2.2066
Fe -1.0289 1.3724 6.6197
Fe 1.3724 1.0289 11.0329
Bi 2.0577 0.0000 4.4132
Bi 0.0000 0.0000 8.8263


Q:
4
Lattice="0.0000 3.0762 3.0762 3.0762 0.0000 3.0762 3.0762 3.0762 0.0000" Properties=species:S:1:pos:R:3 comment="AlFe2Bi | Alexandria via LeMat-Bulk | GGA-PBE | optimized geometry" magnetic_moment_mub_per_cell=0.00 dos_ef_per_ev_atom=0.16 crystal_system=cubic pbc="T T T"
Al 0.0000 0.0000 0.0000
Fe 1.5381 1.5381 1.5381
Fe 4.6143 4.6143 4.6143
Bi 3.0762 3.0762 3.0762


It turns out Q is the most stable, with the second structure 15.7 kJ/mol of atoms higher.